Entry 1:
LiLa2ZrTc | the Alexandria database | GGA-PBE | relaxed; electronic total energy = -5.37 eV/atom; magnetization = 0.0 μB per cell; DOS at the Fermi energy = 4.9 states/eV/cell; energy of formation from the pure elements = 0.769 eV per atom
1.0
5.857 0.000 0.000
0.000 4.741 0.000
0.000 0.000 5.857
Li Tc Zr La
1 1 1 2
Direct
0.500 0.500 0.500 Li
0.000 0.500 0.000 Tc
0.000 0.000 0.000 Zr
0.000 0.000 0.500 La
0.500 0.000 0.000 La

Entry 2:
LiLa2Te4 | the Alexandria database | GGA-PBE | relaxed; formation energy from raw total energies = -113 kJ/mol of atoms; electronic total energy = -4.64 eV/atom; magnetization = 0.0 μB per cell; energy above the most stable polymorph in this dataset = 0.182 eV per atom; DOS at the Fermi energy = 3.5 states/eV/cell
1.0
4.967 0.000 0.000
0.000 4.967 0.000
2.483 2.483 8.776
Te Li La
4 1 2
Direct
0.182 0.182 0.635 Te
0.818 0.818 0.365 Te
0.000 0.500 0.000 Te
0.500 0.000 0.000 Te
0.000 0.000 0.000 Li
0.365 0.365 0.270 La
0.635 0.635 0.730 La

Entry 3:
Li2LaTe2 | the Alexandria database | GGA-PBE | relaxed; formation energy from raw total energies = -92 kJ/mol of atoms; electronic total energy = -3.97 eV/atom; magnetization = 0.0 μB per cell; energy above the most stable polymorph in this dataset = 0.206 eV per atom; DOS at the Fermi energy = 4.2 states/eV/cell
1.0
-1.244 -7.804 -0.721
5.043 -0.238 -6.122
2.886 -0.682 2.404
Te Li La
4 4 2
Direct
0.187 0.687 0.500 Te
0.687 0.813 0.500 Te
0.813 0.313 0.500 Te
0.313 0.187 0.500 Te
0.388 0.888 0.000 Li
0.888 0.612 0.000 Li
0.612 0.112 0.000 Li
0.112 0.388 0.000 Li
0.000 0.000 0.000 La
0.500 0.500 0.000 La

Entry 4:
Li2LaTe | the Alexandria database | GGA-PBE | relaxed; formation energy from raw total energies = -60 kJ/mol of atoms; electronic total energy = -3.59 eV/atom; magnetization = 0.0 μB per cell; DOS at the Fermi energy = 2.1 states/eV/cell
1.0
-2.001 -2.774 -3.840
-2.601 -2.235 2.970
-3.271 3.097 -0.533
La Li Te
1 2 1
Direct
0.500 0.000 0.500 La
0.000 0.000 0.000 Li
0.000 0.500 0.500 Li
0.500 0.500 0.000 Te

Entry 5:
Li3LaTe | the Alexandria database | GGA-PBE | relaxed; formation energy from raw total energies = -15 kJ/mol of atoms; electronic total energy = -2.92 eV/atom; magnetization = 1.4 μB per cell; energy above the most stable polymorph in this dataset = 0.000 eV per atom; DOS at the Fermi energy = 4.6 states/eV/cell
1.0
-4.225 -0.527 -2.844
2.556 -3.036 -3.235
-1.354 -4.089 2.768
Te Li La
1 3 1
Direct
0.000 0.000 0.000 Te
0.000 0.500 0.000 Li
0.000 0.000 0.500 Li
0.500 0.000 0.000 Li
0.500 0.500 0.500 La

Entry 6:
Li2LaTe | the Alexandria database | GGA-PBE | relaxed; formation energy from raw total energies = -52 kJ/mol of atoms; electronic total energy = -3.52 eV/atom; magnetization = 0.0 μB per cell; DOS at the Fermi energy = 5.2 states/eV/cell
1.0
4.484 0.000 0.000
0.000 4.484 0.000
2.242 2.242 11.305
Te Li La
2 4 2
Direct
0.500 0.500 0.000 Te
0.250 0.750 0.500 Te
0.578 0.125 0.250 Li
0.172 0.625 0.250 Li
0.375 0.422 0.750 Li
0.875 0.828 0.750 Li
0.000 0.000 0.000 La
0.750 0.250 0.500 La

Entry 7:
LiLa2Te2 | the Alexandria database | GGA-PBE | relaxed; formation energy from raw total energies = -96 kJ/mol of atoms; electronic total energy = -4.60 eV/atom; magnetization = 0.0 μB per cell; energy above the most stable polymorph in this dataset = 0.187 eV per atom; DOS at the Fermi energy = 7.6 states/eV/cell
1.0
8.809 0.000 0.000
0.000 8.809 0.000
0.000 0.000 4.128
Te Li La
4 2 4
Direct
0.150 0.650 0.500 Te
0.650 0.850 0.500 Te
0.850 0.350 0.500 Te
0.350 0.150 0.500 Te
0.000 0.000 0.000 Li
0.500 0.500 0.000 Li
0.350 0.850 0.000 La
0.850 0.650 0.000 La
0.650 0.150 0.000 La
0.150 0.350 0.000 La

Entry 8:
Li2LaTe | the Alexandria database | GGA-PBE | relaxed; formation energy from raw total energies = -49 kJ/mol of atoms; electronic total energy = -3.48 eV/atom; magnetization = 0.0 μB per cell; DOS at the Fermi energy = 3.9 states/eV/cell
1.0
-0.307 -1.942 -5.952
0.397 -5.339 -3.261
-3.626 -3.616 -3.616
La Li Te
1 2 1
Direct
0.750 0.750 0.750 La
0.961 0.961 0.961 Li
0.539 0.539 0.539 Li
0.250 0.250 0.250 Te

Entry 9:
LiLa2Te4 | the Alexandria database | GGA-PBE | relaxed; formation energy from raw total energies = -130 kJ/mol of atoms; electronic total energy = -4.83 eV/atom; magnetization = 0.0 μB per cell; energy above the most stable polymorph in this dataset = 0.000 eV per atom; DOS at the Fermi energy = 1.3 states/eV/cell
1.0
7.831 0.000 0.078
0.000 6.306 0.000
-2.791 0.000 8.758
Li La Te
2 4 8
Direct
0.224 0.750 0.181 Li
0.776 0.250 0.819 Li
0.761 0.750 0.066 La
0.239 0.250 0.934 La
0.237 0.250 0.435 La
0.763 0.750 0.565 La
0.514 0.494 0.253 Te
0.068 0.750 0.886 Te
0.932 0.250 0.114 Te
0.514 0.006 0.253 Te
0.929 0.250 0.601 Te
0.486 0.994 0.747 Te
0.486 0.506 0.747 Te
0.071 0.750 0.399 Te

Entry 10:
LiLa2Te | the Alexandria database | GGA-PBE | relaxed; formation energy from raw total energies = -56 kJ/mol of atoms; electronic total energy = -4.31 eV/atom; magnetization = 0.0 μB per cell; DOS at the Fermi energy = 5.1 states/eV/cell
1.0
4.377 0.000 0.000
0.000 4.377 0.000
0.000 0.000 6.642
La Li Te
2 1 1
Direct
0.000 0.000 0.956 La
0.500 0.500 0.279 La
0.000 0.000 0.483 Li
0.500 0.500 0.782 Te

Entry 11:
Li3LaTe | the Alexandria database | GGA-PBE | relaxed; formation energy from raw total energies = 80 kJ/mol of atoms; electronic total energy = -1.93 eV/atom; magnetization = 3.6 μB per cell; energy above the most stable polymorph in this dataset = 0.986 eV per atom; DOS at the Fermi energy = 3.1 states/eV/cell
1.0
-4.153 1.401 3.392
1.924 -3.531 3.814
3.125 4.036 2.160
Te Li La
1 3 1
Direct
0.500 0.500 0.500 Te
0.000 0.500 0.000 Li
0.000 0.000 0.500 Li
0.500 0.000 0.000 Li
0.000 0.000 0.000 La

Entry 12:
LiLa2Te | the Alexandria database | GGA-PBE | relaxed; formation energy from raw total energies = -69 kJ/mol of atoms; electronic total energy = -4.44 eV/atom; magnetization = 0.5 μB per cell; DOS at the Fermi energy = 4.9 states/eV/cell
1.0
4.471 0.000 0.000
0.000 4.394 0.001
0.000 2.196 6.114
Te Li La
1 1 2
Direct
0.500 0.557 0.762 Te
0.000 0.690 0.494 Li
0.000 0.974 0.928 La
0.500 0.279 0.316 La

Entry 13:
LiLa2Te3 | the Alexandria database | GGA-PBE | relaxed; formation energy from raw total energies = -139 kJ/mol of atoms; electronic total energy = -4.97 eV/atom; magnetization = 0.0 μB per cell; DOS at the Fermi energy = 2.6 states/eV/cell
1.0
-3.794 -1.200 -2.116
-0.106 -5.521 3.320
-1.688 6.337 4.233
Li La Te
1 2 3
Direct
0.000 0.500 0.000 Li
0.668 0.168 0.337 La
0.332 0.832 0.663 La
0.344 0.344 0.688 Te
0.000 0.000 0.000 Te
0.656 0.656 0.312 Te

Entry 14:
LiLa5Te8 | the Alexandria database | GGA-PBE | relaxed; formation energy from raw total energies = -149 kJ/mol of atoms; electronic total energy = -5.24 eV/atom; magnetization = 0.0 μB per cell
1.0
8.366 -0.013 0.023
-2.844 7.868 -0.023
-2.679 -3.985 6.851
Li La Te
1 5 8
Direct
0.250 0.500 0.750 Li
0.005 0.373 0.126 La
0.874 0.879 0.247 La
0.753 0.627 0.632 La
0.500 0.000 0.500 La
0.368 0.121 0.995 La
0.133 0.745 0.024 Te
0.976 0.109 0.721 Te
0.764 0.245 0.364 Te
0.636 0.400 0.882 Te
0.482 0.600 0.236 Te
0.612 0.891 0.867 Te
0.279 0.255 0.388 Te
0.118 0.755 0.518 Te

Entry 15:
Li2LaTe | the Alexandria database | GGA-PBE | relaxed; formation energy from raw total energies = -56 kJ/mol of atoms; electronic total energy = -3.56 eV/atom; magnetization = 0.0 μB per cell; DOS at the Fermi energy = 2.1 states/eV/cell
1.0
7.152 0.191 -0.503
5.655 4.382 -0.503
-1.026 -0.366 4.310
La Li Te
1 2 1
Direct
0.250 0.250 0.250 La
0.961 0.961 0.962 Li
0.539 0.539 0.538 Li
0.750 0.750 0.750 Te

Entry 16:
LiLa2Te2 | the Alexandria database | GGA-PBE | relaxed; formation energy from raw total energies = -114 kJ/mol of atoms; electronic total energy = -4.79 eV/atom; magnetization = 0.0 μB per cell; energy above the most stable polymorph in this dataset = 0.000 eV per atom; DOS at the Fermi energy = 5.0 states/eV/cell
1.0
8.448 0.000 0.000
0.000 8.448 0.000
0.000 0.000 4.298
Te Li La
4 2 4
Direct
0.349 0.849 0.000 Te
0.849 0.651 0.000 Te
0.651 0.151 0.000 Te
0.151 0.349 0.000 Te
0.000 0.000 0.000 Li
0.500 0.500 0.000 Li
0.153 0.653 0.500 La
0.653 0.847 0.500 La
0.847 0.347 0.500 La
0.347 0.153 0.500 La

Entry 17:
Li2LaTe | the Alexandria database | GGA-PBE | relaxed; formation energy from raw total energies = -43 kJ/mol of atoms; electronic total energy = -3.42 eV/atom; magnetization = 0.0 μB per cell; DOS at the Fermi energy = 4.6 states/eV/cell
1.0
-2.846 -4.365 0.778
0.271 -2.535 4.610
-4.107 0.086 3.299
La Li Te
1 2 1
Direct
0.500 0.500 0.500 La
0.000 0.000 0.000 Li
0.250 0.250 0.250 Li
0.750 0.750 0.750 Te

Entry 18:
Li2LaTe | the Alexandria database | GGA-PBE | relaxed; formation energy from raw total energies = -64 kJ/mol of atoms; electronic total energy = -3.64 eV/atom; magnetization = 0.6 μB per cell; DOS at the Fermi energy = 2.2 states/eV/cell
1.0
4.451 0.005 0.000
2.221 3.857 0.000
2.225 1.288 5.731
La Li Te
1 2 1
Direct
0.253 0.253 0.241 La
0.044 0.044 0.867 Li
0.746 0.746 0.763 Li
0.457 0.457 0.629 Te

Entry 19:
Li2La2Te | the Alexandria database | GGA-PBE | relaxed; formation energy from raw total energies = -43 kJ/mol of atoms; electronic total energy = -3.82 eV/atom; magnetization = 0.0 μB per cell; DOS at the Fermi energy = 7.1 states/eV/cell
1.0
7.165 0.000 0.000
0.000 7.165 0.000
0.000 0.000 5.068
Te Li La
2 4 4
Direct
0.000 0.000 0.000 Te
0.500 0.500 0.000 Te
0.364 0.864 0.000 Li
0.864 0.636 0.000 Li
0.636 0.136 0.000 Li
0.136 0.364 0.000 Li
0.166 0.666 0.500 La
0.666 0.834 0.500 La
0.834 0.334 0.500 La
0.334 0.166 0.500 La

Entry 20:
LiLa6Te8 | the Alexandria database | GGA-PBE | relaxed; formation energy from raw total energies = -145 kJ/mol of atoms; electronic total energy = -5.28 eV/atom; magnetization = 0.0 μB per cell; DOS at the Fermi energy = 8.7 states/eV/cell
1.0
-2.748 5.887 5.424
1.581 -2.200 8.018
6.420 4.472 3.228
Li La Te
1 6 8
Direct
0.000 0.000 0.000 Li
0.075 0.462 0.699 La
0.301 0.925 0.538 La
0.538 0.301 0.925 La
0.462 0.699 0.075 La
0.699 0.075 0.462 La
0.925 0.538 0.301 La
0.183 0.646 0.905 Te
0.095 0.817 0.354 Te
0.354 0.095 0.817 Te
0.668 0.668 0.668 Te
0.332 0.332 0.332 Te
0.646 0.905 0.183 Te
0.905 0.183 0.646 Te
0.817 0.354 0.095 Te

Entry 21:
LiLa4Te6 | the Alexandria database | GGA-PBE | relaxed; formation energy from raw total energies = -141 kJ/mol of atoms; electronic total energy = -5.14 eV/atom; magnetization = 0.0 μB per cell; DOS at the Fermi energy = 1.7 states/eV/cell
1.0
-2.597 -0.693 -5.707
4.570 3.550 -2.510
4.062 -8.920 2.735
Li La Te
1 4 6
Direct
0.003 0.003 0.000 Li
0.877 0.397 0.275 La
0.602 0.602 0.725 La
0.397 0.877 0.275 La
0.123 0.123 0.724 La
0.061 0.580 0.641 Te
0.580 0.061 0.641 Te
0.938 0.938 0.359 Te
0.999 0.500 0.000 Te
0.420 0.420 0.359 Te
0.500 0.999 0.000 Te

Entry 22:
Li2LaTe | the Alexandria database | GGA-PBE | relaxed; formation energy from raw total energies = -60 kJ/mol of atoms; electronic total energy = -3.59 eV/atom; magnetization = 0.0 μB per cell; DOS at the Fermi energy = 2.4 states/eV/cell
1.0
4.937 0.000 0.000
0.000 4.118 -0.080
0.000 0.194 5.262
La Li Te
1 2 1
Direct
0.500 0.750 0.750 La
0.000 0.228 0.002 Li
0.000 0.272 0.498 Li
0.500 0.250 0.250 Te

Entry 23:
LiLa2Te | the Alexandria database | GGA-PBE | relaxed; formation energy from raw total energies = -65 kJ/mol of atoms; electronic total energy = -4.40 eV/atom; magnetization = 0.0 μB per cell; DOS at the Fermi energy = 2.7 states/eV/cell
1.0
-3.450 4.169 -0.826
-1.938 -4.120 -3.038
-2.226 -1.230 3.088
La Li Te
2 1 1
Direct
0.000 0.000 0.000 La
0.500 0.500 0.000 La
0.500 0.000 0.500 Li
0.000 0.500 0.500 Te

Entry 24:
LiLa2Te2 | the Alexandria database | GGA-PBE | relaxed; formation energy from raw total energies = -87 kJ/mol of atoms; electronic total energy = -4.51 eV/atom; magnetization = 1.6 μB per cell; energy above the most stable polymorph in this dataset = 0.279 eV per atom; DOS at the Fermi energy = 3.9 states/eV/cell
1.0
-0.498 -4.739 4.151
-0.455 -4.126 -4.765
4.077 -4.922 -0.319
Te Li La
2 1 2
Direct
0.290 0.290 0.419 Te
0.710 0.710 0.581 Te
0.000 0.000 0.000 Li
0.750 0.250 0.500 La
0.250 0.750 0.500 La

Entry 25:
Li2LaTe | the Alexandria database | GGA-PBE | relaxed; formation energy from raw total energies = -50 kJ/mol of atoms; electronic total energy = -3.49 eV/atom; magnetization = 0.0 μB per cell; DOS at the Fermi energy = 4.6 states/eV/cell
1.0
6.516 0.006 0.012
3.316 5.610 -0.012
-4.447 -3.629 3.085
La Li Te
1 2 1
Direct
0.750 0.250 0.500 La
0.038 0.038 0.000 Li
0.462 0.462 0.000 Li
0.250 0.750 0.500 Te

Entry 26:
LiLa2Te | the Alexandria database | GGA-PBE | relaxed; formation energy from raw total energies = -53 kJ/mol of atoms; electronic total energy = -4.28 eV/atom; magnetization = 0.0 μB per cell; DOS at the Fermi energy = 4.3 states/eV/cell
1.0
-0.705 -0.704 -3.789
-3.496 -1.502 0.935
-3.305 7.235 -0.729
La Li Te
2 1 1
Direct
0.000 0.000 0.959 La
0.500 0.500 0.283 La
0.000 0.000 0.556 Li
0.500 0.500 0.703 Te